(1)
# Tc2SeCl

A relaxed structure of Tc2SeCl (PBE, Alexandria via LeMat-Bulk).

The excess energy over the best structure of this formula in the dataset is 787.7 meV per atom.

a b c (Å): 5.136 5.136 5.136
angles (deg): 146.49 114.16 75.93
Atoms (fractional coordinates):
Tc 0.240 0.240 0.000
Tc 0.760 0.760 0.000
Se 0.000 0.500 0.500
Cl 0.500 0.000 0.500

=====

(2)
# Tc2SeCl

A relaxed structure of Tc2SeCl (PBE, Alexandria via LeMat-Bulk).

The excess energy over the best structure of this formula in the dataset is 691.3 meV per atom.

a b c (Å): 6.642 6.642 6.642
angles (deg): 131.93 131.93 70.35
Atoms (fractional coordinates):
Tc 0.107 0.625 0.982
Tc 0.375 0.357 0.482
Tc 0.643 0.125 0.018
Tc 0.875 0.893 0.518
Se 0.250 0.750 0.500
Se 0.500 0.500 0.000
Cl 0.000 0.000 0.000
Cl 0.750 0.250 0.500

=====

(3)
# Tc2SeCl

A relaxed structure of Tc2SeCl (PBE, Alexandria via LeMat-Bulk).

The excess energy over the best structure of this formula in the dataset is 776.8 meV per atom.

a b c (Å): 3.122 3.122 8.112
angles (deg): 90.00 90.00 122.77
Atoms (fractional coordinates):
Tc 0.000 0.000 0.237
Tc 0.000 0.000 0.763
Se 0.500 0.500 0.000
Cl 0.500 0.500 0.500

=====

(4)
# Tc2SeCl

A relaxed structure of Tc2SeCl (PBE, Alexandria via LeMat-Bulk).

The excess energy over the best structure of this formula in the dataset is 71.6 meV per atom.

a b c (Å): 2.932 2.932 8.768
angles (deg): 90.00 90.00 90.00
Atoms (fractional coordinates):
Tc 0.000 0.000 0.000
Tc 0.500 0.500 0.200
Se 0.500 0.500 0.816
Cl 0.000 0.000 0.386

=====

(5)
# TcSeCl3

A relaxed structure of TcSeCl3 (PBE, Alexandria via LeMat-Bulk).

The excess energy over the best structure of this formula in the dataset is 125.4 meV per atom.

a b c (Å): 6.640 6.580 5.524
angles (deg): 90.00 90.00 90.00
Atoms (fractional coordinates):
Tc 0.000 0.021 0.000
Tc 0.500 0.979 0.500
Se 0.000 0.292 0.241
Se 0.500 0.708 0.741
Cl 0.000 0.702 0.770
Cl 0.240 0.161 0.717
Cl 0.260 0.839 0.217
Cl 0.500 0.298 0.270
Cl 0.740 0.839 0.217
Cl 0.760 0.161 0.717

=====

(6)
# Tc2SeCl

A relaxed structure of Tc2SeCl (PBE, Alexandria via LeMat-Bulk).

The excess energy over the best structure of this formula in the dataset is 717.6 meV per atom.

a b c (Å): 4.379 4.379 3.104
angles (deg): 90.00 90.00 90.00
Atoms (fractional coordinates):
Tc 0.000 0.500 0.000
Tc 0.500 0.000 0.000
Se 0.000 0.000 0.500
Cl 0.500 0.500 0.500

=====

(7)
# Te4SeCl

A relaxed structure of Te4SeCl (PBE, Alexandria via LeMat-Bulk).

a b c (Å): 6.209 6.209 6.209
angles (deg): 60.00 60.00 60.00
Atoms (fractional coordinates):
Te 0.378 0.378 0.378
Te 0.378 0.378 0.867
Te 0.378 0.867 0.378
Te 0.867 0.378 0.378
Se 0.750 0.750 0.750
Cl 0.000 0.000 0.000

=====

(8)
# TeSeCl2

A relaxed structure of TeSeCl2 (PBE, Alexandria via LeMat-Bulk).

The excess energy over the best structure of this formula in the dataset is 670.2 meV per atom.

a b c (Å): 5.470 5.470 5.470
angles (deg): 132.34 132.34 69.69
Atoms (fractional coordinates):
Te 0.000 0.000 0.000
Se 0.500 0.500 0.000
Cl 0.250 0.750 0.500
Cl 0.750 0.250 0.500

=====

(9)
# Te5SeCl2

A relaxed structure of Te5SeCl2 (PBE, Alexandria via LeMat-Bulk).

a b c (Å): 7.243 7.243 6.754
angles (deg): 99.15 99.15 70.55
Atoms (fractional coordinates):
Te 0.000 0.000 0.000
Te 0.091 0.752 0.376
Te 0.290 0.951 0.685
Te 0.752 0.091 0.376
Te 0.951 0.290 0.685
Se 0.802 0.802 0.813
Cl 0.281 0.281 0.997
Cl 0.533 0.533 0.528

=====

(10)
# Te2Se2Cl

A relaxed structure of Te2Se2Cl (PBE, Alexandria via LeMat-Bulk).

The excess energy over the best structure of this formula in the dataset is 0.0 meV per atom.

a b c (Å): 3.920 7.737 14.369
angles (deg): 103.15 90.04 104.64
Atoms (fractional coordinates):
Te 0.090 0.179 0.322
Te 0.214 0.429 0.831
Te 0.786 0.571 0.169
Te 0.910 0.821 0.678
Se 0.171 0.341 0.113
Se 0.296 0.593 0.617
Se 0.704 0.407 0.383
Se 0.829 0.659 0.887
Cl 0.440 0.877 0.239
Cl 0.560 0.123 0.761

=====

(11)
# TeSeCl2

A relaxed structure of TeSeCl2 (PBE, Alexandria via LeMat-Bulk).

The excess energy over the best structure of this formula in the dataset is 473.8 meV per atom.

a b c (Å): 12.450 12.450 12.450
angles (deg): 15.34 15.34 15.34
Atoms (fractional coordinates):
Te 0.000 0.000 0.000
Se 0.500 0.500 0.500
Cl 0.066 0.066 0.066
Cl 0.934 0.934 0.934

=====

(12)
# TeSe2Cl2

A relaxed structure of TeSe2Cl2 (PBE, Alexandria via LeMat-Bulk).

a b c (Å): 7.670 7.884 8.364
angles (deg): 114.26 99.63 111.90
Atoms (fractional coordinates):
Te 0.010 0.296 0.097
Te 0.990 0.704 0.903
Se 0.227 0.948 0.805
Se 0.292 0.162 0.128
Se 0.708 0.838 0.872
Se 0.773 0.052 0.195
Cl 0.230 0.517 0.941
Cl 0.245 0.611 0.410
Cl 0.755 0.389 0.590
Cl 0.770 0.483 0.059

=====

(13)
# TeSeCl2

A relaxed structure of TeSeCl2 (PBE, Alexandria via LeMat-Bulk).

The excess energy over the best structure of this formula in the dataset is 586.8 meV per atom.

a b c (Å): 3.234 4.659 6.265
angles (deg): 90.00 90.00 90.00
Atoms (fractional coordinates):
Te 0.000 0.000 0.000
Se 0.500 0.000 0.500
Cl 0.000 0.500 0.500
Cl 0.500 0.500 0.000

=====

(14)
# Te2Se2Cl

A relaxed structure of Te2Se2Cl (PBE, Alexandria via LeMat-Bulk).

The excess energy over the best structure of this formula in the dataset is 103.8 meV per atom.

a b c (Å): 5.985 5.985 5.985
angles (deg): 123.66 123.66 83.77
Atoms (fractional coordinates):
Te 0.182 0.182 0.000
Te 0.818 0.818 0.000
Se 0.250 0.750 0.500
Se 0.750 0.250 0.500
Cl 0.500 0.500 0.000

=====

Spin magnetization
In order: 0.000 0.000 0.000 0.000 0.000 0.000 0.000 0.000 0.000 0.000 0.135 0.000 0.000 0.000
Unit: μB per atom
Formation energy without anion corrections
In order: 0.67 0.57 0.66 -0.05 -0.39 0.60 0.37 0.36 -0.11 -0.09 0.16 -0.26 0.27 0.01
Unit: eV/atom